(1)
BaCo after structural relaxation, computed with PBE.

Cell: 4.172 10.709 9.086 Å, 90.00 90.00 90.00°
Space group Pmmn (No. 59, origin choice 2)
Asymmetric unit:
Ba1 0.250 0.076 0.208 [4 per cell]
Ba2 0.250 0.250 0.647 [2 per cell]
Co1 0.250 0.548 0.521 [4 per cell]
Co2 0.250 0.750 0.605 [2 per cell]

## Properties
Spin magnetization in μB per atom: 0.522
ΔH_f (0 K) in eV per atom: 0.27

(2)
Ba3Co after structural relaxation, computed with PBE.

Cell: 6.283 13.997 4.407 Å, 90.00 90.00 90.00°
Space group Cmmm (No. 65)
Asymmetric unit:
Ba1 0.000 0.000 0.000 [2 per cell]
Ba2 0.000 0.353 0.500 [4 per cell]
Co1 0.000 0.500 0.000 [2 per cell]

## Properties
Spin magnetization in μB per atom: 0.040
ΔE to the lowest computed polymorph in eV/atom: 0.000
ΔH_f (0 K) in eV per atom: 0.30

Which of these has the lowest ΔH_f (0 K)? BaCo

What is the ΔH_f (0 K) in the second record? 0.30 eV per atom

What is the formula in the second record? Ba3Co

What did the second record say?
Ba3Co after structural relaxation, computed with PBE.

Cell: 6.283 13.997 4.407 Å, 90.00 90.00 90.00°
Space group Cmmm (No. 65)
Asymmetric unit:
Ba1 0.000 0.000 0.000 [2 per cell]
Ba2 0.000 0.353 0.500 [4 per cell]
Co1 0.000 0.500 0.000 [2 per cell]

## Properties
Spin magnetization in μB per atom: 0.040
ΔE to the lowest computed polymorph in eV/atom: 0.000
ΔH_f (0 K) in eV per atom: 0.30